Here is a relaxed structure of AlTeCl from Alexandria via LeMat-Bulk. Energies are from PBE.

Lattice parameters (Å, degrees): 3.667 8.915 15.023 90.00 90.00 90.00
Space group Fmm2 (No. 42)
Symmetry-distinct sites (fractional):
Al1 0.000 0.000 0.000 (multiplicity 4)
Te1 0.000 0.000 0.617 (multiplicity 4)
Cl1 0.000 0.000 0.386 (multiplicity 4)

Summary:
Formation energy from raw total energies in eV/atom: -0.4181
Size of the total moment in μB/cell: 0.000
VASP energy in eV per atom: -3.3284